# Ce2TcSn (PBE, optimized geometry)
# ΔH_f (0 K) ... -0.32 eV per atom
# ρ ... 8.63 g/cm3
# DOS at the Fermi energy ... 1.42 states/eV per atom
# Raw total energy ... -27.5 eV/cell
# Total magnetization ... 0.000 μB per atom
data_Ce2TcSn
_chemical_formula_sum 'Ce2 Tc1 Sn1'
_cell_length_a 3.354
_cell_length_b 3.354
_cell_length_c 8.498
_cell_angle_alpha 90.00
_cell_angle_beta 90.00
_cell_angle_gamma 90.00
_symmetry_space_group_name_H-M 'P 4/m m m'
_symmetry_Int_Tables_number 123
_symmetry_space_group_name_Hall '-P 4 2'
loop_
_atom_site_label
_atom_site_type_symbol
_atom_site_fract_x
_atom_site_fract_y
_atom_site_fract_z
Ce1 Ce 0.000 0.000 0.208
Tc1 Tc 0.500 0.500 0.000
Sn1 Sn 0.500 0.500 0.500